Entry 1:
A plane-wave DFT calculation with PBE-GGA was carried out for crystalline Y3Zn2Si3 at its relaxed geometry.

Properties
The calculation puts the spin magnetization at 0.000 Bohr magnetons per cell. The calculation puts the formation energy (no corrections) at -14.27 kcal/mol of atoms. For the calculated volume, the calculation gives 20.377 A^3/atom. The value obtained for the energy is -5.395 eV/atom.

a b c (Å): 4.118 10.680 14.828
angles (deg): 90.00 90.00 90.00
Space group Cmcm (No. 63)
Unique sites:
1 Y 0.000 0.070 0.250 [4 per cell]
2 Y 0.000 0.363 0.098 [8 per cell]
3 Zn 0.000 0.348 0.619 [8 per cell]
4 Si 0.000 0.080 0.053 [8 per cell]
5 Si 0.000 0.205 0.750 [4 per cell]

---

Entry 2:
A plane-wave DFT calculation with PBE-GGA was carried out for crystalline NdHoMg at its relaxed geometry.

Properties
For the formation energy, the calculation gives -0.0447 eV per atom. The calculation puts the spin magnetization at 0.000 Bohr magnetons per cell. The value obtained for the energy relative to the lowest polymorph listed for this composition is 0.008 eV/f.u. For the calculated volume, the calculation gives 29.906 A^3/atom. The value obtained for the energy is -3.691 eV/atom.

a b c (Å): 3.801 5.489 8.807
angles (deg): 90.44 102.46 90.01
Space group P-1 (No. 2)
Unique sites:
1 Nd 0.227 0.249 0.454 [2 per cell]
2 Ho 0.088 0.745 0.176 [2 per cell]
3 Mg 0.434 0.755 0.868 [2 per cell]

---

Number 1: density 4.908 g/cm3. Number 2: density 6.172 g/cm3.